# CoSbMo2, single point on PBEsol structure, DFT meta-GGA SCAN
# total DFT energy (no corrections)	-30.59	eV/atom
# ΔE_f (raw)	493.9	meV per atom
data_CoSbMo2
_chemical_formula_sum 'Co2 Sb2 Mo4'
_space_group_name_H-M_alt 'C m m 2'
_space_group_IT_number 35
_cell_length_a 3.6267
_cell_length_b 4.5544
_cell_length_c 7.5350
_cell_angle_alpha 90.00
_cell_angle_beta 90.00
_cell_angle_gamma 90.00
loop_
_space_group_symop_operation_xyz
'x,y,z'
'-x,-y,z'
'-x,y,z'
'x,-y,z'
'x+1/2,y+1/2,z'
'-x+1/2,-y+1/2,z'
'-x+1/2,y+1/2,z'
'x+1/2,-y+1/2,z'
loop_
_atom_site_label
_atom_site_fract_x
_atom_site_fract_y
_atom_site_fract_z
Co1 0.0000 0.0000 0.0000
Sb1 0.0000 0.5000 0.7552
Mo1 0.0000 0.0000 0.4648
Mo2 0.0000 0.5000 0.2078